(1)
8
Lattice="6.725 0.000 0.000 0.000 6.725 0.000 3.362 3.362 2.493" Properties=species:S:1:pos:R:3 comment="PBE-GGA BeAl2V, optimized geometry" ef_ev_per_atom=0.30 vol_a3_per_atom=14.09 magnetic_moment_mub_per_cell=0.76 dos_ef_per_ev_fu=2.302 sg="No. 122" pbc="T T T"
Be 3.362 3.362 0.000
Be 3.362 6.725 1.247
Al 4.739 1.681 0.623
Al 1.986 5.043 0.623
Al 5.043 5.348 1.870
Al 8.406 8.101 1.870
V 0.000 0.000 0.000
V 6.725 3.362 1.247



(2)
4
Lattice="-0.215 -2.601 -1.658 3.043 0.092 -0.539 0.860 -2.857 4.368" Properties=species:S:1:pos:R:3 comment="PBE-GGA BeAlV2, optimized geometry" ef_ev_per_atom=-0.02 vol_a3_per_atom=12.64 magnetic_moment_mub_per_cell=0.00 dos_ef_per_ev_fu=4.570 sg="No. 123" pbc="T T T"
Be 1.414 -1.254 -1.099
Al 1.844 -2.683 1.085
V 0.680 -2.258 3.453
V 0.180 -0.598 0.915



(3)
5
Lattice="4.578 0.000 0.000 0.000 4.268 0.000 0.000 0.000 4.578" Properties=species:S:1:pos:R:3 comment="PBE-GGA ZrBeAl2V, optimized geometry" ef_ev_per_atom=0.54 vol_a3_per_atom=17.89 magnetic_moment_mub_per_cell=0.00 dos_ef_per_ev_fu=3.250 sg="No. 123" pbc="T T T"
Be 0.000 2.134 0.000
Al 0.000 0.000 2.289
Al 2.289 0.000 0.000
Zr 2.289 2.134 2.289
V 0.000 0.000 0.000



(4)
6
Lattice="0.000 3.542 3.542 3.542 0.000 3.542 3.542 3.542 0.000" Properties=species:S:1:pos:R:3 comment="PBE-GGA BeAl4W, optimized geometry" ef_ev_per_atom=0.26 vol_a3_per_atom=14.82 magnetic_moment_mub_per_cell=0.00 dos_ef_per_ev_fu=2.051 sg="No. 216" pbc="T T T"
Be 1.771 1.771 1.771
Al 2.659 2.659 4.426
Al 2.659 4.426 2.659
Al 4.426 4.426 4.426
Al 4.426 2.659 2.659
W 0.000 0.000 0.000



(5)
3
Lattice="4.927 -0.001 0.002 3.070 3.854 -0.002 -3.830 -2.276 2.104" Properties=species:S:1:pos:R:3 comment="PBE-GGA BeAlW, optimized geometry" ef_ev_per_atom=0.13 vol_a3_per_atom=13.31 magnetic_moment_mub_per_cell=0.00 dos_ef_per_ev_fu=1.356 sg="No. 44" relative_energy_kj_per_mol_atoms=6.67 pbc="T T T"
Be 2.645 1.275 0.000
Al 7.911 3.812 0.000
W 5.437 2.620 0.000



(6)
6
Lattice="4.809 0.999 -0.318 3.418 3.297 -0.934 -0.125 -2.821 7.163" Properties=species:S:1:pos:R:3 comment="PBE-GGA BeAlW, optimized geometry" ef_ev_per_atom=0.08 vol_a3_per_atom=13.25 magnetic_moment_mub_per_cell=0.00 dos_ef_per_ev_fu=0.948 sg="No. 2" relative_energy_kj_per_mol_atoms=1.68 pbc="T T T"
Al 5.123 -0.185 6.115
Al 2.979 1.660 -0.203
W 2.748 0.536 2.261
W 5.354 0.939 3.650
Be 4.985 1.614 1.274
Be 3.117 -0.139 4.637



(7)
5
Lattice="4.316 0.000 0.000 0.000 4.316 0.000 0.000 0.000 4.316" Properties=species:S:1:pos:R:3 comment="PBE-GGA Be3AlW, optimized geometry" ef_ev_per_atom=1.38 vol_a3_per_atom=16.08 magnetic_moment_mub_per_cell=0.00 dos_ef_per_ev_fu=2.740 sg="No. 221" relative_energy_kj_per_mol_atoms=0.00 pbc="T T T"
Be 0.000 2.158 0.000
Be 0.000 0.000 2.158
Be 2.158 0.000 0.000
Al 2.158 2.158 2.158
W 0.000 0.000 0.000



(8)
5
Lattice="4.244 0.000 0.000 0.000 4.244 0.000 0.000 0.000 4.244" Properties=species:S:1:pos:R:3 comment="PBE-GGA BeAl3W, optimized geometry" ef_ev_per_atom=0.89 vol_a3_per_atom=15.29 magnetic_moment_mub_per_cell=0.22 dos_ef_per_ev_fu=4.424 sg="No. 221" relative_energy_kj_per_mol_atoms=0.00 pbc="T T T"
Be 0.000 0.000 0.000
Al 0.000 2.122 0.000
Al 0.000 0.000 2.122
Al 2.122 0.000 0.000
W 2.122 2.122 2.122



(9)
3
Lattice="-1.407 2.478 -2.985 -1.318 -3.904 0.233 -2.027 0.779 1.602" Properties=species:S:1:pos:R:3 comment="PBE-GGA BeAlW, optimized geometry" ef_ev_per_atom=0.07 vol_a3_per_atom=13.27 magnetic_moment_mub_per_cell=0.00 dos_ef_per_ev_fu=1.729 sg="No. 187" relative_energy_kj_per_mol_atoms=0.00 pbc="T T T"
Be -1.713 0.480 -1.647
Al -0.339 0.131 0.268
W -2.699 -1.257 0.228



(10)
3
Lattice="-3.025 -4.962 2.404 -0.902 -5.963 1.077 0.653 -0.067 2.615" Properties=species:S:1:pos:R:3 comment="PBE-GGA BeAlW, optimized geometry" ef_ev_per_atom=0.22 vol_a3_per_atom=13.75 magnetic_moment_mub_per_cell=0.00 dos_ef_per_ev_fu=1.997 sg="No. 42" relative_energy_kj_per_mol_atoms=15.30 pbc="T T T"
Be -2.406 -7.320 3.193
Al 0.618 -0.150 2.622
W -0.833 -3.590 2.896



(11)
19
Lattice="5.485 0.035 0.686 0.610 5.451 0.686 0.039 0.035 5.527" Properties=species:S:1:pos:R:3 comment="PBE-GGA Be17AlW, optimized geometry" ef_ev_per_atom=-0.05 vol_a3_per_atom=8.68 magnetic_moment_mub_per_cell=0.00 dos_ef_per_ev_fu=2.338 sg="No. 160" pbc="T T T"
Be 1.673 0.036 4.056
Be 4.003 1.660 0.685
Be 0.438 3.807 2.137
Be 2.071 3.807 0.685
Be 0.212 1.660 4.056
Be 3.832 0.036 2.137
Be 2.426 4.575 2.729
Be 2.147 1.932 5.091
Be 4.804 1.932 2.729
Be 3.728 0.903 4.193
Be 4.014 3.613 1.771
Be 1.289 3.613 4.193
Be 5.777 2.802 6.499
Be 6.057 5.452 4.131
Be 3.393 5.452 6.499
Be 5.505 4.955 6.192
Be 0.612 0.551 0.689
Al 2.226 2.004 2.504
W 4.063 3.657 4.571



(12)
9
Lattice="3.477 0.000 -1.040 -0.670 5.852 -2.241 0.052 -0.019 6.507" Properties=species:S:1:pos:R:3 comment="PBE-GGA BeAl6W2, optimized geometry" ef_ev_per_atom=-0.06 vol_a3_per_atom=14.73 magnetic_moment_mub_per_cell=0.00 dos_ef_per_ev_fu=3.317 sg="No. 12" pbc="T T T"
Be 1.403 2.926 -1.640
Al 0.859 4.940 2.872
Al 2.000 0.893 0.354
Al 1.967 4.922 0.245
Al 0.267 2.925 0.893
Al 0.891 0.911 2.981
Al 2.592 2.908 2.333
W 3.199 1.211 4.366
W -0.341 4.622 -1.140